Entry 1:
Crystalline AcPmTlRh at its relaxed geometry, computed with PBE.

Output
ΔH_f (0 K)   -0.3345 eV/atom
Uncorrected energy   -19.91 eV/cell
Size of the total moment   0.0 μB per formula unit

Cell lengths 5.4075, 5.4075, 5.4075 Å; angles 60.00, 60.00, 60.00 degrees
Last column: nearest neighbours and their distance in Å.
Sites, in units of the cell vectors:
Ac1 0.0000 0.0000 0.0000  4 Tl 3.31, 4 Rh 3.31
Pm1 0.5000 0.5000 0.5000  4 Tl 3.31, 4 Rh 3.31
Tl1 0.7500 0.7500 0.7500  4 Pm 3.31, 4 Ac 3.31
Rh1 0.2500 0.2500 0.2500  4 Ac 3.31, 4 Pm 3.31


Entry 2:
Crystalline AcPm3Ru at its relaxed geometry, computed with PBE.

Output
ΔH_f (0 K)   -0.0701 eV/atom
Uncorrected energy   -111.95 eV/cell
Excess energy over the best structure of this formula in the dataset   1.780 kcal/mol of atoms
Size of the total moment   0.0 μB per formula unit

Cell lengths 7.9929, 7.7736, 10.6079 Å; angles 90.00, 104.97, 90.00 degrees
Last column: nearest neighbours and their distance in Å.
Sites, in units of the cell vectors:
Ac1 0.1945 0.0490 0.2511  1 Ru 3.26, 3 Pm 3.48-3.62
Ac2 0.1945 0.4510 0.7511  1 Ru 3.26, 3 Pm 3.48-3.62
Ac3 0.8055 0.5490 0.2489  1 Ru 3.26, 3 Pm 3.48-3.62
Ac4 0.8055 0.9510 0.7489  1 Ru 3.26, 3 Pm 3.48-3.62
Pm1 0.0863 0.7031 0.0327  1 Ru 2.84
Pm2 0.0863 0.7969 0.5327  1 Ru 2.84
Pm3 0.3026 0.5117 0.3798  2 Ru 2.80-3.03
Pm4 0.3026 0.9883 0.8798  2 Ru 2.80-3.03
Pm5 0.4016 0.1251 0.6002  3 Ru 2.94-3.16
Pm6 0.4016 0.3749 0.1002  3 Ru 2.94-3.16
Pm7 0.5984 0.6251 0.8998  3 Ru 2.94-3.16
Pm8 0.5984 0.8749 0.3998  3 Ru 2.94-3.16
Pm9 0.6974 0.0117 0.1202  2 Ru 2.80-3.03
Pm10 0.6974 0.4883 0.6202  2 Ru 2.80-3.03
Pm11 0.9137 0.2031 0.4673  1 Ru 2.84
Pm12 0.9137 0.2969 0.9673  1 Ru 2.84
Ru1 0.4503 0.7475 0.6085  5 Pm 2.80-3.03
Ru2 0.4503 0.7525 0.1085  5 Pm 2.80-3.03
Ru3 0.5497 0.2475 0.8915  5 Pm 2.80-3.03
Ru4 0.5497 0.2525 0.3915  5 Pm 2.80-3.03


Entry 3:
Crystalline Ac6PmRu2 at its relaxed geometry, computed with PBE.

Output
ΔH_f (0 K)   0.0711 eV/atom
Uncorrected energy   -94.63 eV/cell
Size of the total moment   0.0 μB per formula unit

Cell lengths 9.0678, 9.0678, 9.6321 Å; angles 109.74, 109.74, 77.29 degrees
Last column: nearest neighbours and their distance in Å.
Sites, in units of the cell vectors:
Ac1 0.1015 0.2484 0.1629  1 Ru 2.93
Ac2 0.1349 0.6536 0.5445  1 Ru 2.75
Ac3 0.2484 0.1015 0.6629  1 Ru 2.93
Ac4 0.2911 0.4613 0.9827  3 Ru 2.99-3.17
Ac5 0.3464 0.8651 0.9555  1 Ru 2.75
Ac6 0.4613 0.2911 0.4827  3 Ru 2.99-3.17
Ac7 0.5387 0.7089 0.5173  3 Ru 2.99-3.17
Ac8 0.6536 0.1349 0.0445  1 Ru 2.75
Ac9 0.7089 0.5387 0.0173  3 Ru 2.99-3.17
Ac10 0.7516 0.8985 0.3371  1 Ru 2.93
Ac11 0.8651 0.3464 0.4555  1 Ru 2.75
Ac12 0.8985 0.7516 0.8371  1 Ru 2.93
Pm1 0.1564 0.8436 0.2500  2 Ru 2.89
Pm2 0.8436 0.1564 0.7500  2 Ru 2.89
Ru1 0.2588 0.5352 0.2986  4 Ac 2.75-3.04, 1 Pm 2.89
Ru2 0.4648 0.7412 0.2014  4 Ac 2.75-3.04, 1 Pm 2.89
Ru3 0.5352 0.2588 0.7986  4 Ac 2.75-3.04, 1 Pm 2.89
Ru4 0.7412 0.4648 0.7014  4 Ac 2.75-3.04, 1 Pm 2.89


Entry 4:
Crystalline Ac3PmRu at its relaxed geometry, computed with PBE.

Output
ΔH_f (0 K)   -0.0077 eV/atom
Uncorrected energy   -26.39 eV/cell
Excess energy over the best structure of this formula in the dataset   1.547 kcal/mol of atoms
Size of the total moment   0.0 μB per formula unit

Cell lengths 5.7868, 5.7868, 5.7868 Å; angles 90.00, 90.00, 90.00 degrees
Last column: nearest neighbours and their distance in Å.
Sites, in units of the cell vectors:
Ac1 0.0000 0.0000 0.5000  2 Ru 2.89
Ac2 0.0000 0.5000 0.0000  2 Ru 2.89
Ac3 0.5000 0.0000 0.0000  2 Ru 2.89
Pm1 0.5000 0.5000 0.5000  12 Ac 4.09
Ru1 0.0000 0.0000 0.0000  6 Ac 2.89